Below is Sm2NiSn2 after structural relaxation, with properties calculated at the PBE level.

Computed properties:
- Space-group type: C2/m (12)
- E_form: -0.68 eV/atom
- Crystal system: monoclinic

Cell: 6.0056 6.0056 11.0693 Å, 115.30 115.30 44.11°
With the nearest neighbours (Å) after each atom.
Atoms (fractional coordinates):
Sm1 0.0010 0.0010 0.3329  7 Sn 3.16-3.44, 3 Ni 3.19-3.28
Sm2 0.1858 0.1858 0.1161  6 Sn 3.19-3.31, 2 Ni 3.24
Sm3 0.8142 0.8142 0.8839  6 Sn 3.19-3.31, 2 Ni 3.24
Sm4 0.9990 0.9990 0.6671  7 Sn 3.16-3.44, 3 Ni 3.19-3.28
Ni1 0.2825 0.2825 0.6613  4 Sn 2.60-2.78
Ni2 0.7175 0.7175 0.3387  4 Sn 2.60-2.78
Sn1 0.3378 0.3378 0.4407  3 Ni 2.60-2.78
Sn2 0.4774 0.4774 0.1232  1 Ni 2.64
Sn3 0.5226 0.5226 0.8768  1 Ni 2.64
Sn4 0.6622 0.6622 0.5593  3 Ni 2.60-2.78